The following is a DFT calculation (PBE) of crystalline BaAc2Er at its relaxed geometry.

Cell and atoms, written as POSCAR:
```
BaAc2Er
1.0
3.940 0.000 0.000
1.970 3.412 0.000
1.970 1.137 12.975
Ac Er Ba
2 1 1
direct
0.075 0.075 0.775
0.258 0.258 0.225
0.667 0.667 0.000
0.500 0.500 0.501
```

Summary:
Total magnetic moment, μB per formula unit: 0.00
Symmetry: R3m (160)
DFT formation energy, eV per atom: 0.10
V, Å³ per cell: 174